Record 1
This record from the Alexandria database describes crystalline Pm2Tl2Pb at its relaxed geometry. The functional is GGA-PBE.

Cell: 4.814 4.814 7.552 Å, 90.00 90.00 110.85°
Positions (direct):
Pm (0.000, 0.000, 0.238)
Pm (0.000, 0.000, 0.762)
Tl (0.322, 0.678, 0.500)
Tl (0.678, 0.322, 0.500)
Pb (0.500, 0.500, 0.000)

## Properties
density of states at the Fermi level: 4.22 states/eV/cell
calculated total energy: -0.136 Ha/atom

***

Record 2
This record from the Alexandria database describes crystalline Mn2PtPb at its relaxed geometry. The functional is GGA-PBE.

Cell: 3.162 3.371 7.027 Å, 90.00 90.00 90.00°
Positions (direct):
Mn (0.000, 0.000, 0.204)
Mn (0.000, 0.000, 0.796)
Pt (0.500, 0.500, 0.000)
Pb (0.500, 0.500, 0.500)

## Properties
density of states at the Fermi level: 2.10 states/eV/cell
calculated total energy: -0.255 Ha/atom

***

Record 3
This record from the Alexandria database describes crystalline Pa8Tc2Rh at its relaxed geometry. The functional is GGA-PBE.

Cell: 8.833 8.833 5.955 Å, 109.29 109.29 35.09°
Positions (direct):
Pa (0.010, 0.010, 0.253)
Pa (0.211, 0.211, 0.092)
Pa (0.327, 0.327, 0.683)
Pa (0.402, 0.402, 0.303)
Pa (0.598, 0.598, 0.697)
Pa (0.673, 0.673, 0.317)
Pa (0.789, 0.789, 0.908)
Pa (0.990, 0.990, 0.747)
Tc (0.163, 0.163, 0.584)
Tc (0.837, 0.837, 0.416)
Rh (0.500, 0.500, 0.000)

## Properties
density of states at the Fermi level: 24.03 states/eV/cell
calculated total energy: -0.352 Ha/atom

***

Record 4
This record from the Alexandria database describes crystalline Ca2MgTe at its relaxed geometry. The functional is GGA-PBE.

Cell: 7.189 7.189 7.189 Å, 106.00 106.00 116.66°
Positions (direct):
Ca (0.101, 0.625, 0.976)
Ca (0.375, 0.351, 0.476)
Ca (0.649, 0.125, 0.024)
Ca (0.875, 0.899, 0.524)
Mg (0.250, 0.750, 0.500)
Mg (0.500, 0.500, 0.000)
Te (0.000, 0.000, 0.000)
Te (0.750, 0.250, 0.500)

## Properties
density of states at the Fermi level: 0.75 states/eV/cell
calculated total energy: -0.098 Ha/atom

***

Record 5
This record from the Alexandria database describes crystalline TbPr2Sb at its relaxed geometry. The functional is GGA-PBE.

Cell: 4.893 4.893 4.964 Å, 90.00 90.00 90.00°
Positions (direct):
Tb (0.000, 0.000, 0.000)
Pr (0.000, 0.500, 0.500)
Pr (0.500, 0.000, 0.500)
Sb (0.500, 0.500, 0.000)

## Properties
density of states at the Fermi level: 3.60 states/eV/cell
calculated total energy: -0.188 Ha/atom

***

Record 6
This record from the Alexandria database describes crystalline Nd3Ho8Tm4 at its relaxed geometry. The functional is GGA-PBE.

Cell: 9.241 9.241 6.703 Å, 111.25 111.25 87.54°
Positions (direct):
Nd (0.000, 0.000, 0.000)
Nd (0.000, 0.500, 0.000)
Nd (0.500, 0.000, 0.000)
Ho (0.141, 0.859, 0.500)
Ho (0.231, 0.231, 0.954)
Ho (0.243, 0.243, 0.488)
Ho (0.249, 0.751, 0.000)
Ho (0.751, 0.249, 0.000)
Ho (0.757, 0.757, 0.512)
Ho (0.769, 0.769, 0.046)
Ho (0.859, 0.141, 0.500)
Tm (0.000, 0.500, 0.500)
Tm (0.500, 0.000, 0.500)
Tm (0.500, 0.500, 0.000)
Tm (0.500, 0.500, 0.500)

## Properties
density of states at the Fermi level: 28.73 states/eV/cell
calculated total energy: -0.154 Ha/atom

***

What is the calculated total energy in the second record? -0.255 Ha/atom

***

The highest calculated total energy belongs to which entry? Ca2MgTe

***

Which of these has the highest density of states at the Fermi level? Nd3Ho8Tm4